## Zr6Bi2Mo (GGA-PBE)

Data for a geometry-optimized Zr6Bi2Mo structure.

a b c (Å): 3.7299 8.0196 8.0203
angles (deg): 120.00 90.00 90.00
With the nearest neighbours (Å) after each atom.
Fractional coordinates of all 9 atoms:
Mo 0.5000 0.9999 0.0000  6 Zr 2.71
Zr 0.0000 0.2450 0.0000  2 Mo 2.71
Zr 0.5000 0.0000 0.6062  4 Bi 3.09, 1 Mo 3.16, 6 Zr 3.33-3.45
Zr 0.0000 0.7550 0.7549  2 Mo 2.71
Bi 0.0000 0.3334 0.6667  9 Zr 3.09
Zr 0.5000 0.6063 0.0000  4 Bi 3.09, 1 Mo 3.16, 6 Zr 3.33-3.45
Zr 0.5000 0.3938 0.3938  4 Bi 3.09, 1 Mo 3.16, 6 Zr 3.33-3.45
Bi 0.0000 0.6666 0.3333  9 Zr 3.09
Zr 0.0000 0.0001 0.2451  2 Mo 2.71

## Properties
Total magnetization   0.00 μB/f.u.
Uncorrected energy   -8.00 eV per atom
Symmetry   P-62m (189)
Calculated formation energy   -0.23 eV/atom
Theoretical density   8.5 g cm⁻³

---

## CoSb2Mo (GGA-PBE)

Data for a geometry-optimized CoSb2Mo structure.

a b c (Å): 5.3224 5.3224 4.0100
angles (deg): 90.02 90.02 40.19
With the nearest neighbours (Å) after each atom.
Fractional coordinates of all 4 atoms:
Sb 0.7201 0.7201 0.6251  1 Co 2.64, 4 Mo 2.85
Sb 0.0179 0.0179 0.1249  4 Co 2.78, 3 Mo 2.80-2.88
Co 0.4556 0.4556 0.6250  2 Mo 2.50, 5 Sb 2.64-2.78
Mo 0.3064 0.3064 0.1251  2 Co 2.50, 2 Sb 2.80

## Properties
ΔE_f (raw)   0.4 eV/f.u.
Total magnetization   0.00 μB/f.u.
Uncorrected energy   -6.44 eV per atom
Symmetry   Amm2 (38)
Theoretical density   9.0 g cm⁻³

---

## Tb9Y2Er (GGA-PBE)

Data for a geometry-optimized Tb9Y2Er structure.

a b c (Å): 3.4887 11.2538 11.2538
angles (deg): 120.00 90.00 90.00
With the nearest neighbours (Å) after each atom.
Fractional coordinates of all 12 atoms:
Tb 0.0000 0.0000 0.5000  2 Y 3.25, 10 Tb 3.49-3.62
Tb 0.0000 0.5000 0.0000  2 Y 3.25, 10 Tb 3.49-3.62
Y 0.0000 0.3333 0.6667  9 Tb 3.25-3.55, 2 Y 3.49
Y 0.0000 0.6667 0.3333  9 Tb 3.25-3.55, 2 Y 3.49
Tb 0.5000 0.1747 0.3493  8 Tb 3.40-3.62, 2 Y 3.55
Er 0.0000 0.0000 0.0000  2 Er 3.49, 12 Tb 3.83
Tb 0.5000 0.1747 0.8253  8 Tb 3.40-3.62, 2 Y 3.55
Tb 0.5000 0.8253 0.6507  8 Tb 3.40-3.62, 2 Y 3.55
Tb 0.5000 0.3493 0.1747  8 Tb 3.40-3.62, 2 Y 3.55
Tb 0.0000 0.5000 0.5000  2 Y 3.25, 10 Tb 3.49-3.62
Tb 0.5000 0.8253 0.1747  8 Tb 3.40-3.62, 2 Y 3.55
Tb 0.5000 0.6507 0.8253  8 Tb 3.40-3.62, 2 Y 3.55

## Properties
Total magnetization   0.00 μB/f.u.
Uncorrected energy   -4.87 eV per atom
Symmetry   P6/mmm (191)
Energy above the lowest structure with this stoichiometry   36 meV per atom
Calculated formation energy   0.06 eV/atom
Theoretical density   7.7 g cm⁻³

---

## VIn2TePd (GGA-PBE)

Data for a geometry-optimized VIn2TePd structure.

a b c (Å): 5.7786 4.8987 5.7786
angles (deg): 90.00 90.00 90.00
With the nearest neighbours (Å) after each atom.
Fractional coordinates of all 5 atoms:
V 0.5000 0.5000 0.5000  8 In 3.79, 4 Pd 4.09
Te 0.0000 0.0000 0.0000  2 Pd 2.45
Pd 0.0000 0.5000 0.0000  2 Te 2.45
In 0.0000 0.0000 0.5000  2 Te 2.89
In 0.5000 0.0000 0.0000  2 Te 2.89

## Properties
ΔE_f (raw)   6.0 eV/f.u.
Total magnetization   0.12 μB/f.u.
Uncorrected energy   -3.38 eV per atom
Symmetry   P4/mmm (123)
Theoretical density   5.2 g cm⁻³

---

## ZrAs4Pb (GGA-PBE)

Data for a geometry-optimized ZrAs4Pb structure.

a b c (Å): 5.6543 5.6543 5.6543
angles (deg): 60.00 60.00 60.00
With the nearest neighbours (Å) after each atom.
Fractional coordinates of all 6 atoms:
As 0.8811 0.3730 0.3730  6 As 2.78-2.87
As 0.3730 0.3730 0.8811  6 As 2.78-2.87
As 0.3730 0.8811 0.3730  6 As 2.78-2.87
Pb 0.7500 0.7500 0.7500  12 As 3.32, 4 Zr 3.46
Zr 0.0000 0.0000 0.0000  12 As 3.31, 4 Pb 3.46
As 0.3730 0.3730 0.3730  6 As 2.78-2.87

## Properties
Total magnetization   0.00 μB/f.u.
Uncorrected energy   -4.99 eV per atom
Symmetry   F-43m (216)
Calculated formation energy   0.16 eV/atom
Theoretical density   7.8 g cm⁻³

---

## TaRhW2 (GGA-PBE)

Data for a geometry-optimized TaRhW2 structure.

a b c (Å): 5.2535 5.2535 5.2535
angles (deg): 143.13 130.85 62.99
With the nearest neighbours (Å) after each atom.
Fractional coordinates of all 4 atoms:
W 0.2433 0.2433 0.0000  2 Ta 2.74, 4 W 2.75, 2 Rh 2.84
Ta 0.0000 0.5000 0.5000  4 W 2.74, 4 Rh 2.74
W 0.7567 0.7567 0.0000  2 Ta 2.74, 4 W 2.75, 2 Rh 2.84
Rh 0.5000 0.0000 0.5000  4 Ta 2.74, 4 W 2.84

## Properties
Total magnetization   0.00 μB/f.u.
Uncorrected energy   -11.31 eV per atom
Symmetry   Immm (71)
Energy above the lowest structure with this stoichiometry   68 meV per atom
Calculated formation energy   -0.03 eV/atom
Theoretical density   16.6 g cm⁻³

---

## AlCd3Re (GGA-PBE)

Data for a geometry-optimized AlCd3Re structure.

a b c (Å): 5.0672 5.0672 5.0672
angles (deg): 90.00 90.00 90.00
With the nearest neighbours (Å) after each atom.
Fractional coordinates of all 5 atoms:
Cd 0.5000 0.0000 0.0000  2 Al 2.53
Cd 0.0000 0.0000 0.5000  2 Al 2.53
Cd 0.0000 0.5000 0.0000  2 Al 2.53
Al 0.0000 0.0000 0.0000  6 Cd 2.53
Re 0.5000 0.5000 0.5000  12 Cd 3.58

## Properties
Total magnetization   4.09 μB/f.u.
Uncorrected energy   -2.34 eV per atom
Symmetry   Pm-3m (221)
Energy above the lowest structure with this stoichiometry   277 meV per atom
Calculated formation energy   1.45 eV/atom
Theoretical density   7.0 g cm⁻³

---

## Tb2DyHoS6 (GGA-PBE)

Data for a geometry-optimized Tb2DyHoS6 structure.

a b c (Å): 6.9225 6.9225 7.3549
angles (deg): 61.93 61.93 59.99
With the nearest neighbours (Å) after each atom.
Fractional coordinates of all 10 atoms:
Tb 0.5177 0.5176 0.4471  6 S 2.73-2.80
S 0.4187 0.7138 0.7528  1 Dy 2.71, 2 Tb 2.73-2.80, 1 Ho 2.77
S 0.1146 0.4188 0.7528  1 Dy 2.71, 2 Tb 2.73-2.80, 1 Ho 2.77
S 0.9207 0.6126 0.2524  1 Ho 2.71, 2 Tb 2.73-2.80, 1 Dy 2.79
Tb 0.0172 0.0173 0.9483  6 S 2.73-2.80
Dy 0.8157 0.8157 0.5528  6 S 2.71-2.79
S 0.6125 0.2143 0.2525  1 Ho 2.71, 2 Tb 2.73-2.80, 1 Dy 2.79
S 0.7139 0.1145 0.7528  1 Dy 2.71, 2 Tb 2.73-2.80, 1 Ho 2.77
S 0.2142 0.9207 0.2525  1 Ho 2.71, 2 Tb 2.73-2.80, 1 Dy 2.79
Ho 0.3163 0.3162 0.0512  6 S 2.71-2.77

## Properties
ΔE_f (raw)   -20.6 eV/f.u.
Total magnetization   0.00 μB/f.u.
Uncorrected energy   -6.38 eV per atom
Symmetry   R3 (146)
Theoretical density   5.4 g cm⁻³

---

## MnInHg4 (GGA-PBE)

Data for a geometry-optimized MnInHg4 structure.

a b c (Å): 5.9878 5.9878 5.9878
angles (deg): 60.00 60.00 60.00
With the nearest neighbours (Å) after each atom.
Fractional coordinates of all 6 atoms:
Hg 0.8759 0.3747 0.3747  6 Hg 2.99-3.00
Hg 0.3747 0.3747 0.3747  6 Hg 2.99-3.00
Mn 0.0000 0.0000 0.0000  12 Hg 3.51, 4 In 3.67
In 0.7500 0.7500 0.7500  12 Hg 3.51, 4 Mn 3.67
Hg 0.3747 0.8759 0.3747  6 Hg 2.99-3.00
Hg 0.3747 0.3747 0.8759  6 Hg 2.99-3.00

## Properties
Total magnetization   4.45 μB/f.u.
Uncorrected energy   -1.80 eV per atom
Symmetry   F-43m (216)
Calculated formation energy   0.39 eV/atom
Theoretical density   10.6 g cm⁻³

---

## Pr8CuTe4Se3 (GGA-PBE)

Data for a geometry-optimized Pr8CuTe4Se3 structure.

a b c (Å): 8.7227 8.8819 8.7146
angles (deg): 119.37 119.98 90.01
With the nearest neighbours (Å) after each atom.
Fractional coordinates of all 16 atoms:
Te 0.5000 0.0000 0.0000  6 Pr 3.25-3.26
Te 0.5000 0.0000 0.5000  6 Pr 3.21-3.24
Pr 0.2384 0.7245 0.9865  1 Cu 2.96, 2 Se 3.03, 3 Te 3.21-3.26
Se 0.0000 0.5000 0.5000  6 Pr 3.00-3.03
Te 0.0000 0.0000 0.5000  6 Pr 3.21-3.24
Pr 0.7406 0.7219 0.4811  3 Se 2.99-3.00, 3 Te 3.24
Te 0.0000 0.0000 0.0000  6 Pr 3.21-3.24
Pr 0.7610 0.2750 0.5217  1 Cu 2.98, 2 Se 3.02-3.03, 3 Te 3.21-3.25
Pr 0.2527 0.2752 0.0136  1 Cu 2.97, 2 Se 3.02-3.03, 3 Te 3.21-3.26
Se 0.5000 0.5000 0.5000  6 Pr 3.00-3.03
Pr 0.2390 0.7250 0.4783  1 Cu 2.98, 2 Se 3.02-3.03, 3 Te 3.21-3.25
Pr 0.7616 0.2755 0.0135  1 Cu 2.96, 2 Se 3.03, 3 Te 3.21-3.26
Pr 0.2594 0.2781 0.5189  3 Se 2.99-3.00, 3 Te 3.24
Cu 0.0000 0.5000 0.0000  6 Pr 2.96-2.98
Pr 0.7473 0.7248 0.9864  1 Cu 2.97, 2 Se 3.02-3.03, 3 Te 3.21-3.26
Se 0.5000 0.5000 0.0000  6 Pr 2.99-3.03

## Properties
ΔE_f (raw)   -23.2 eV/f.u.
Total magnetization   0.00 μB/f.u.
Uncorrected energy   -5.53 eV per atom
Symmetry   C2/m (12)
Theoretical density   6.7 g cm⁻³

---

## Tl2PtAuCl6 (GGA-PBE)

Data for a geometry-optimized Tl2PtAuCl6 structure.

a b c (Å): 7.0944 7.0979 10.4779
angles (deg): 90.00 90.00 90.00
With the nearest neighbours (Å) after each atom.
Fractional coordinates of all 20 atoms:
Pt 0.0000 0.7502 0.0000  6 Cl 2.38-2.46
Cl 0.7455 0.4948 0.5000  1 Pt 2.46, 1 Au 2.56
Au 0.0000 0.7498 0.5000  6 Cl 2.56-2.86
Pt 0.5000 0.2498 0.5000  6 Cl 2.38-2.46
Cl 0.7455 0.0048 0.5000  1 Pt 2.46, 1 Au 2.56
Tl 0.5000 0.7504 0.7518  12 Cl 3.55-3.64
Tl 0.0000 0.2496 0.2518  12 Cl 3.55-3.64
Cl 0.2545 0.4948 0.5000  1 Pt 2.46, 1 Au 2.56
Cl 0.0000 0.7502 0.7729  1 Pt 2.38
Cl 0.2455 0.5052 0.0000  1 Pt 2.46, 1 Au 2.56
Cl 0.7545 0.5052 0.0000  1 Pt 2.46, 1 Au 2.56
Tl 0.0000 0.2496 0.7482  12 Cl 3.55-3.64
Cl 0.2455 0.9952 0.0000  1 Pt 2.46, 1 Au 2.56
Cl 0.7545 0.9952 0.0000  1 Pt 2.46, 1 Au 2.56
Cl 0.5000 0.2498 0.2729  1 Pt 2.38
Tl 0.5000 0.7504 0.2482  12 Cl 3.55-3.64
Cl 0.0000 0.7502 0.2271  1 Pt 2.38
Cl 0.5000 0.2498 0.7271  1 Pt 2.38
Au 0.5000 0.2502 0.0000  6 Cl 2.56-2.86
Cl 0.2545 0.0048 0.5000  1 Pt 2.46, 1 Au 2.56

## Properties
ΔE_f (raw)   -5.8 eV/f.u.
Total magnetization   0.00 μB/f.u.
Uncorrected energy   -3.10 eV per atom
Symmetry   Immm (71)
Theoretical density   6.4 g cm⁻³